VASP calculation (meta-GGA SCAN) on a crystal of Li4Mn3V3Ni2O16 relaxed with PBEsol.

Structure (POSCAR):
```
Li4Mn3V3Ni2O16
1.0
-4.7820 -0.8202 -2.8840
0.5678 -2.0724 5.1711
-3.5961 8.0696 3.6677
Li Mn V Ni O
4 3 3 2 16
Direct
0.3321 0.6643 0.8911 Li
0.0021 0.0041 0.9971 Li
0.0048 0.0096 0.4956 Li
0.6657 0.3314 0.3975 Li
0.1717 0.3433 0.2157 Mn
0.8335 0.1721 0.7161 Mn
0.3386 0.1721 0.7161 Mn
0.6537 0.8280 0.2105 V
0.1743 0.8280 0.2105 V
0.8289 0.6578 0.7081 V
0.3340 0.6679 0.4901 Ni
0.6667 0.3334 0.9859 Ni
0.6748 0.8335 0.6067 O
0.4817 0.9634 0.3338 O
0.3318 0.6636 0.0966 O
0.0008 0.0016 0.3111 O
0.0028 0.0056 0.8131 O
0.1587 0.8335 0.6067 O
0.4815 0.5172 0.3352 O
0.0356 0.5172 0.3352 O
0.8344 0.6689 0.1089 O
0.1635 0.3269 0.6084 O
0.9650 0.4853 0.8339 O
0.5203 0.4853 0.8339 O
0.6628 0.3255 0.6030 O
0.8346 0.1608 0.1078 O
0.5187 0.0373 0.8321 O
0.3262 0.1608 0.1078 O
```

Summary:
* DOS at the Fermi energy: 3.69 states/eV per cell
* uncorrected formation energy: -2.23 eV/atom
* calculated density: 4.57 g/cm³

***

VASP calculation (meta-GGA SCAN) on a crystal of LiLa2Hg relaxed with PBEsol.

Structure (POSCAR):
```
LiLa2Hg
1.0
-1.0554 3.2046 -1.5926
-2.5292 -1.8426 -2.0317
-5.2361 1.0443 5.5712
La Hg Li
2 1 1
Direct
0.0000 0.0000 0.9659 La
0.5000 0.5000 0.2758 La
0.5000 0.5000 0.7097 Hg
0.0000 0.0000 0.5486 Li
```

Summary:
* DOS at the Fermi energy: 2.66 states/eV per cell
* DFT formation energy: -293 meV per atom
* calculated density: 7.50 g/cm³